1.
First-principles (PBE) data for a relaxed Cs2Pu2Te2S crystal, as listed in Alexandria.

Values from the calculation:
formation energy (no corrections)	-1.128	eV per atom

Unit cell a=10.322 b=10.322 c=10.322 alpha=149.81 beta=149.81 gamma=43.22
Element x y z (fractional)
Cs: 0.181 0.181 0.000
Cs: 0.819 0.819 0.000
Pu: 0.000 0.500 0.500
Pu: 0.500 0.000 0.500
Te: 0.393 0.393 0.000
Te: 0.607 0.607 0.000
S: 0.000 0.000 0.000

=====

2.
First-principles (PBE) data for a relaxed CsPuTeS crystal, as listed in Alexandria.

Values from the calculation:
formation energy (no corrections)	-1.286	eV per atom

Unit cell a=8.992 b=8.992 c=8.992 alpha=27.91 beta=27.91 gamma=27.91
Element x y z (fractional)
Cs: 0.000 0.000 0.000
Pu: 0.154 0.154 0.154
Te: 0.560 0.560 0.560
S: 0.771 0.771 0.771

=====

3.
First-principles (PBE) data for a relaxed CsPuThS4 crystal, as listed in Alexandria.

Values from the calculation:
formation energy (no corrections)	-1.649	eV per atom

Unit cell a=8.740 b=8.740 c=8.740 alpha=119.94 beta=119.84 gamma=90.19
Element x y z (fractional)
Cs: 0.379 0.129 0.250
Cs: 0.621 0.871 0.750
Pu: 0.000 0.000 0.500
Pu: 0.000 0.500 0.000
Th: 0.000 0.500 0.500
Th: 0.500 0.500 0.000
S: 0.173 0.724 0.449
S: 0.225 0.276 0.949
S: 0.229 0.278 0.549
S: 0.229 0.680 0.951
S: 0.771 0.320 0.049
S: 0.771 0.722 0.451
S: 0.775 0.724 0.051
S: 0.827 0.276 0.551

=====

4.
First-principles (PBE) data for a relaxed Cs2PuTiS4 crystal, as listed in Alexandria.

Values from the calculation:
formation energy (no corrections)	-1.258	eV per atom

Unit cell a=14.914 b=13.409 c=7.992 alpha=84.31 beta=63.47 gamma=32.22
Element x y z (fractional)
Cs: 0.055 0.055 0.695
Cs: 0.305 0.305 0.945
Cs: 0.695 0.695 0.055
Cs: 0.945 0.945 0.305
Pu: 0.125 0.125 0.125
Pu: 0.875 0.875 0.875
Ti: 0.375 0.375 0.375
Ti: 0.625 0.625 0.625
S: 0.020 0.632 0.540
S: 0.308 0.540 0.632
S: 0.368 0.980 0.692
S: 0.460 0.692 0.980
S: 0.540 0.308 0.020
S: 0.632 0.020 0.308
S: 0.692 0.460 0.368
S: 0.980 0.368 0.460

=====

5.
First-principles (PBE) data for a relaxed Cs2PuTlS4 crystal, as listed in Alexandria.

Values from the calculation:
formation energy (no corrections)	-0.950	eV per atom

Unit cell a=7.381 b=7.381 c=7.381 alpha=115.79 beta=115.79 gamma=97.47
Element x y z (fractional)
Cs: 0.000 0.000 0.000
Cs: 0.750 0.250 0.500
Pu: 0.500 0.500 0.000
Tl: 0.250 0.750 0.500
S: 0.221 0.632 0.098
S: 0.368 0.466 0.589
S: 0.534 0.123 0.902
S: 0.877 0.779 0.411

=====

6.
First-principles (PBE) data for a relaxed Cs3Tm3PuS8 crystal, as listed in Alexandria.

Values from the calculation:
formation energy (no corrections)	-1.763	eV per atom

Unit cell a=9.411 b=9.411 c=9.411 alpha=50.46 beta=50.46 gamma=50.46
Element x y z (fractional)
Cs: 0.000 0.500 0.500
Cs: 0.500 0.000 0.500
Cs: 0.500 0.500 0.000
Tm: 0.000 0.000 0.500
Tm: 0.000 0.500 0.000
Tm: 0.500 0.000 0.000
Pu: 0.500 0.500 0.500
S: 0.226 0.226 0.226
S: 0.228 0.724 0.724
S: 0.276 0.276 0.772
S: 0.276 0.772 0.276
S: 0.724 0.228 0.724
S: 0.724 0.724 0.228
S: 0.772 0.276 0.276
S: 0.774 0.774 0.774

=====

7.
First-principles (PBE) data for a relaxed Cs2TmPuS4 crystal, as listed in Alexandria.

Values from the calculation:
formation energy (no corrections)	-1.668	eV per atom

Unit cell a=7.147 b=4.115 c=8.376 alpha=90.00 beta=106.46 gamma=90.00
Element x y z (fractional)
Cs: 0.000 0.000 0.000
Cs: 0.500 0.500 0.000
Tm: 0.000 0.500 0.500
Pu: 0.500 0.000 0.500
S: 0.220 0.000 0.680
S: 0.268 0.500 0.321
S: 0.732 0.500 0.679
S: 0.780 0.000 0.320

=====

8.
First-principles (PBE) data for a relaxed Cs3Tm2PuS6 crystal, as listed in Alexandria.

Values from the calculation:
formation energy (no corrections)	-1.712	eV per atom

Unit cell a=7.111 b=7.111 c=8.374 alpha=98.14 beta=98.14 gamma=120.00
Element x y z (fractional)
Cs: 0.000 0.000 0.000
Cs: 0.333 0.667 0.000
Cs: 0.667 0.333 0.000
Tm: 0.167 0.833 0.500
Tm: 0.833 0.167 0.500
Pu: 0.500 0.500 0.500
S: 0.100 0.440 0.320
S: 0.220 0.220 0.680
S: 0.440 0.100 0.320
S: 0.560 0.900 0.680
S: 0.780 0.780 0.320
S: 0.900 0.560 0.680

=====

9.
First-principles (PBE) data for a relaxed Cs4PuU3S12 crystal, as listed in Alexandria.

Values from the calculation:
formation energy (no corrections)	-1.348	eV per atom

Unit cell a=9.100 b=9.100 c=9.100 alpha=109.47 beta=109.47 gamma=109.47
Element x y z (fractional)
Cs: 0.000 0.000 0.500
Cs: 0.000 0.500 0.000
Cs: 0.500 0.000 0.000
Cs: 0.500 0.500 0.500
Pu: 0.000 0.000 0.000
U: 0.000 0.500 0.500
U: 0.500 0.000 0.500
U: 0.500 0.500 0.000
S: 0.000 0.259 0.259
S: 0.000 0.741 0.741
S: 0.250 0.500 0.750
S: 0.250 0.750 0.500
S: 0.259 0.000 0.259
S: 0.259 0.259 0.000
S: 0.500 0.250 0.750
S: 0.500 0.750 0.250
S: 0.741 0.000 0.741
S: 0.741 0.741 0.000
S: 0.750 0.250 0.500
S: 0.750 0.500 0.250

=====

10.
First-principles (PBE) data for a relaxed Cs2PuVS4 crystal, as listed in Alexandria.

Values from the calculation:
formation energy (no corrections)	-1.120	eV per atom

Unit cell a=14.814 b=13.347 c=7.891 alpha=84.29 beta=63.70 gamma=32.01
Element x y z (fractional)
Cs: 0.054 0.054 0.696
Cs: 0.304 0.304 0.946
Cs: 0.696 0.696 0.054
Cs: 0.946 0.946 0.304
Pu: 0.125 0.125 0.125
Pu: 0.875 0.875 0.875
V: 0.375 0.375 0.375
V: 0.625 0.625 0.625
S: 0.024 0.629 0.540
S: 0.308 0.540 0.629
S: 0.371 0.976 0.692
S: 0.460 0.692 0.976
S: 0.540 0.308 0.024
S: 0.629 0.024 0.308
S: 0.692 0.460 0.371
S: 0.976 0.371 0.460

=====

11.
First-principles (PBE) data for a relaxed Cs2Pu2VS6 crystal, as listed in Alexandria.

Values from the calculation:
formation energy (no corrections)	-1.358	eV per atom

Unit cell a=6.703 b=6.703 c=8.526 alpha=97.80 beta=97.80 gamma=119.48
Element x y z (fractional)
Cs: 0.169 0.831 0.000
Cs: 0.831 0.169 0.000
Pu: 0.333 0.667 0.500
Pu: 0.667 0.333 0.500
V: 0.000 0.000 0.500
S: 0.060 0.369 0.672
S: 0.250 0.250 0.330
S: 0.369 0.060 0.672
S: 0.631 0.940 0.328
S: 0.750 0.750 0.670
S: 0.940 0.631 0.328